The following is a DFT calculation (GGA-PBE) of crystalline Pm7Dy2Er at its relaxed geometry.

Cell lengths 9.452, 9.452, 5.548 Å; angles 90.00, 90.00, 124.72 degrees
Positions (direct):
Pm (0.000, 0.000, 0.000)
Pm (0.210, 0.433, 0.000)
Pm (0.289, 0.711, 0.500)
Pm (0.433, 0.210, 0.000)
Pm (0.567, 0.790, 0.000)
Pm (0.711, 0.289, 0.500)
Pm (0.790, 0.567, 0.000)
Dy (0.205, 0.795, 0.000)
Dy (0.795, 0.205, 0.000)
Er (0.500, 0.500, 0.500)

Output
Calculated total energy, eV per cell: -40.524
Spin magnetization, μB per cell: 0.00